The following is a GGA-PBE calculation of an optimized crystal structure of Ca6Ga5Au, from Alexandria.

Unit cell a=5.163 b=15.601 c=7.365 alpha=90.00 beta=90.00 gamma=90.00
Space group Cmmm (No. 65)
Inequivalent atoms, fractional coordinates:
Ca (0.000, 0.000, 0.247)
Ca (0.000, 0.337, 0.251)
Ga (0.000, 0.169, 0.500)
Ga (0.000, 0.175, 0.000)
Ga (0.000, 0.500, 0.500)
Au (0.000, 0.500, 0.000)

Its formation energy is -495 meV per atom. The crystal system is orthorhombic. Its density of states at the Fermi level is 6.8 states/eV/f.u.